Compound: Y6Tl2NO
Source: the Alexandria database
Functional: PBE
Structure: optimized geometry

Properties
Uncorrected formation energy: -27.08 kcal/mol of atoms
Space-group type: Fm-3m, No. 225
V: 22.350 Å³ per atom

```
Y6Tl2NO
1.0
0.000 4.817 4.817
4.817 0.000 4.817
4.817 4.817 0.000
Y Tl N O
6 2 1 1
Cartesian
4.817 4.817 2.383 Y
4.817 2.383 4.817 Y
7.250 4.817 4.817 Y
2.383 4.817 4.817 Y
4.817 7.250 4.817 Y
4.817 4.817 7.250 Y
2.408 2.408 2.408 Tl
7.225 7.225 7.225 Tl
0.000 0.000 0.000 N
4.817 4.817 4.817 O
```

Compound: TlZnNO2
Source: the Alexandria database
Functional: PBE
Structure: optimized geometry

Properties
Uncorrected formation energy: 9.76 kcal/mol of atoms
Space-group type: P4/mmm, No. 123
V: 12.958 Å³ per atom

```
TlZnNO2
1.0
4.114 0.000 0.000
0.000 4.114 0.000
0.000 0.000 3.829
Tl Zn N O
1 1 1 2
Cartesian
0.000 0.000 0.000 Tl
2.057 2.057 1.914 Zn
2.057 2.057 0.000 N
0.000 2.057 1.914 O
2.057 0.000 1.914 O
```

Compound: TlZnNO2
Source: the Alexandria database
Functional: PBE
Structure: optimized geometry

Properties
Uncorrected formation energy: 22.87 kcal/mol of atoms
Space-group type: P4/mmm, No. 123
V: 15.825 Å³ per atom

```
TlZnNO2
1.0
4.299 0.000 0.000
0.000 4.299 0.000
0.000 0.000 4.282
Tl Zn N O
1 1 1 2
Cartesian
0.000 0.000 0.000 Tl
2.149 2.149 2.141 Zn
0.000 0.000 2.141 N
0.000 2.149 0.000 O
2.149 0.000 0.000 O
```

Compound: TlZnN2O
Source: the Alexandria database
Functional: PBE
Structure: optimized geometry

Properties
Uncorrected formation energy: 26.52 kcal/mol of atoms
Space-group type: P4/mmm, No. 123
V: 13.658 Å³ per atom

```
TlZnN2O
1.0
4.024 0.000 0.000
0.000 4.024 0.000
0.000 0.000 4.218
Tl Zn N O
1 1 2 1
Cartesian
0.000 0.000 0.000 Tl
2.012 2.012 2.109 Zn
0.000 2.012 2.109 N
2.012 0.000 2.109 N
2.012 2.012 0.000 O
```

Compound: TlZnN2O
Source: the Alexandria database
Functional: PBE
Structure: optimized geometry

Properties
Uncorrected formation energy: 40.30 kcal/mol of atoms
Space-group type: P4/mmm, No. 123
V: 16.799 Å³ per atom

```
TlZnN2O
1.0
4.396 0.000 0.000
0.000 4.396 0.000
0.000 0.000 4.346
Tl Zn N O
1 1 2 1
Cartesian
0.000 0.000 0.000 Tl
2.198 2.198 2.173 Zn
0.000 2.198 0.000 N
2.198 0.000 0.000 N
0.000 0.000 2.173 O
```

Compound: ZrTlN2O
Source: the Alexandria database
Functional: PBE
Structure: optimized geometry

Properties
Uncorrected formation energy: 20.57 kcal/mol of atoms
Space-group type: P4/mmm, No. 123
V: 14.363 Å³ per atom

```
ZrTlN2O
1.0
4.189 0.000 0.000
0.000 4.189 0.000
0.000 0.000 4.093
Zr Tl N O
1 1 2 1
Cartesian
0.000 0.000 0.000 Zr
2.094 2.094 2.047 Tl
0.000 2.094 2.047 N
2.094 0.000 2.047 N
2.094 2.094 0.000 O
```

Compound: ZrTlN2O
Source: the Alexandria database
Functional: PBE
Structure: optimized geometry

Properties
Uncorrected formation energy: -5.28 kcal/mol of atoms
Space-group type: P4/mmm, No. 123
V: 16.519 Å³ per atom

```
ZrTlN2O
1.0
4.452 0.000 0.000
0.000 4.452 0.000
0.000 0.000 4.166
Zr Tl N O
1 1 2 1
Cartesian
0.000 0.000 0.000 Zr
2.226 2.226 2.083 Tl
0.000 2.226 0.000 N
2.226 0.000 0.000 N
0.000 0.000 2.083 O
```

Compound: Tm6N5O
Source: the Alexandria database
Functional: PBE
Structure: optimized geometry

Properties
Uncorrected formation energy: -47.85 kcal/mol of atoms
Space-group type: C2/m, No. 12
V: 13.766 Å³ per atom

```
Tm6N5O
1.0
2.936 -5.083 0.000
2.936 5.083 0.000
-1.960 0.000 5.535
Tm N O
6 5 1
Cartesian
-0.018 1.722 4.140 Tm
0.945 0.000 1.409 Tm
-0.018 -1.722 4.140 Tm
3.929 1.722 1.396 Tm
2.966 0.000 4.126 Tm
3.929 -1.722 1.396 Tm
-0.980 0.000 2.768 N
2.936 3.387 0.000 N
1.956 1.697 2.768 N
1.956 -1.697 2.768 N
2.936 -3.387 0.000 N
2.936 0.000 0.000 O
```

Compound: Tm2NO
Source: the Alexandria database
Functional: PBE
Structure: optimized geometry

Properties
Uncorrected formation energy: -52.50 kcal/mol of atoms
Relative energy among the computed polymorphs: 150 meV per atom
Space-group type: R3m, No. 160
V: 13.807 Å³ per atom

```
Tm2NO
1.0
1.658 0.957 5.799
-1.658 0.957 5.799
0.000 -1.915 5.799
Tm N O
2 1 1
Cartesian
0.000 0.000 0.000 Tm
0.000 0.000 3.132 Tm
0.000 0.000 10.219 N
0.000 0.000 13.207 O
```

Compound: Tm3N2O
Source: the Alexandria database
Functional: PBE
Structure: optimized geometry

Properties
Uncorrected formation energy: -52.20 kcal/mol of atoms
Space-group type: Immm, No. 71
V: 13.632 Å³ per atom

```
Tm3N2O
1.0
-1.689 2.390 5.067
1.689 -2.390 5.067
1.689 2.390 -5.067
Tm N O
3 2 1
Cartesian
0.000 0.000 0.000 Tm
0.000 0.000 3.323 Tm
0.000 0.000 6.811 Tm
1.689 0.000 1.690 N
0.000 2.390 3.377 N
0.000 2.390 0.000 O
```

Compound: Tm2NO
Source: the Alexandria database
Functional: PBE
Structure: optimized geometry

Properties
Uncorrected formation energy: -55.96 kcal/mol of atoms
Relative energy among the computed polymorphs: 0 meV per atom
Space-group type: R-3m, No. 166
V: 13.531 Å³ per atom

```
Tm2NO
1.0
1.680 0.970 5.533
-1.680 0.970 5.533
0.000 -1.940 5.533
Tm N O
2 1 1
Cartesian
0.000 0.000 4.089 Tm
0.000 0.000 12.509 Tm
0.000 0.000 8.299 N
0.000 0.000 0.000 O
```

Compound: Tm2NO
Source: the Alexandria database
Functional: PBE
Structure: optimized geometry

Properties
Uncorrected formation energy: -55.90 kcal/mol of atoms
Relative energy among the computed polymorphs: 3 meV per atom
Space-group type: C2/c, No. 15
V: 13.512 Å³ per atom

```
Tm2NO
1.0
3.364 -6.743 0.000
3.364 6.743 0.000
-3.361 0.000 4.766
Tm N O
8 4 4
Cartesian
-0.839 2.528 3.529 Tm
0.798 0.841 1.150 Tm
-0.882 -0.841 3.533 Tm
0.842 -2.528 1.146 Tm
2.525 2.528 3.620 Tm
4.249 0.841 1.233 Tm
2.568 -0.841 3.616 Tm
4.205 -2.528 1.237 Tm
2.523 5.903 1.191 N
0.843 4.217 3.574 N
2.523 -4.217 1.191 N
0.843 -5.903 3.574 N
2.523 2.543 1.191 O
0.843 0.856 3.574 O
2.523 -0.856 1.191 O
0.843 -2.543 3.574 O
```

Compound: Tm4N3O
Source: the Alexandria database
Functional: PBE
Structure: optimized geometry

Properties
Uncorrected formation energy: -49.51 kcal/mol of atoms
Relative energy among the computed polymorphs: 24 meV per atom
Space-group type: Pm-3m, No. 221
V: 13.686 Å³ per atom

```
Tm4N3O
1.0
4.784 0.000 0.000
0.000 4.784 0.000
0.000 0.000 4.784
Tm N O
4 3 1
Cartesian
0.000 0.000 0.000 Tm
0.000 2.392 2.392 Tm
2.392 0.000 2.392 Tm
2.392 2.392 0.000 Tm
0.000 0.000 2.392 N
0.000 2.392 0.000 N
2.392 0.000 0.000 N
2.392 2.392 2.392 O
```

Compound: Tm5N4O
Source: the Alexandria database
Functional: PBE
Structure: optimized geometry

Properties
Uncorrected formation energy: -48.59 kcal/mol of atoms
Space-group type: Immm, No. 71
V: 13.755 Å³ per atom

```
Tm5N4O
1.0
-1.695 2.393 8.478
1.695 -2.393 8.478
1.695 2.393 -8.478
Tm N O
5 4 1
Cartesian
0.000 0.000 0.000 Tm
0.000 0.000 3.390 Tm
0.000 0.000 6.711 Tm
0.000 0.000 10.245 Tm
0.000 0.000 13.566 Tm
1.695 0.000 1.663 N
1.695 0.000 5.126 N
0.000 2.393 3.352 N
0.000 2.393 6.815 N
0.000 2.393 0.000 O
```

Compound: Tm4N3O
Source: the Alexandria database
Functional: PBE
Structure: optimized geometry

Properties
Uncorrected formation energy: -50.06 kcal/mol of atoms
Relative energy among the computed polymorphs: 0 meV per atom
Space-group type: Cmmm, No. 65
V: 13.687 Å³ per atom

```
Tm4N3O
1.0
3.385 -4.779 0.000
3.385 4.779 0.000
0.000 0.000 3.384
Tm N O
4 3 1
Cartesian
1.651 0.000 1.692 Tm
3.385 2.414 0.000 Tm
3.385 -2.414 0.000 Tm
5.120 0.000 1.692 Tm
0.000 0.000 0.000 N
1.693 2.390 1.692 N
1.693 -2.390 1.692 N
3.385 0.000 0.000 O
```

Compound: UNO
Source: the Alexandria database
Functional: PBE
Structure: optimized geometry

Properties
Uncorrected formation energy: -54.35 kcal/mol of atoms
Relative energy among the computed polymorphs: 0 meV per atom
Space-group type: Pnma, No. 62
V: 12.644 Å³ per atom

```
UNO
1.0
7.517 0.000 0.000
0.000 3.773 0.000
0.000 0.000 5.350
U N O
4 4 4
Cartesian
0.949 0.943 1.264 U
2.809 2.830 3.939 U
4.708 0.943 1.411 U
6.568 2.830 4.086 U
0.956 2.830 5.276 N
2.802 0.943 2.601 N
4.715 2.830 2.748 N
6.561 0.943 0.073 N
0.907 2.830 2.606 O
2.851 0.943 5.281 O
4.666 2.830 0.069 O
6.609 0.943 2.744 O
```

Compound: UNO
Source: the Alexandria database
Functional: PBE
Structure: optimized geometry

Properties
Uncorrected formation energy: -46.90 kcal/mol of atoms
Relative energy among the computed polymorphs: 323 meV per atom
Space-group type: P3m1, No. 156
V: 18.551 Å³ per atom

```
UNO
1.0
3.529 0.000 0.000
-1.765 3.056 0.000
0.000 0.000 5.159
U N O
1 1 1
Cartesian
0.000 0.000 0.000 U
1.765 1.019 4.322 N
0.000 2.038 0.955 O
```

Compound: U6N5O
Source: the Alexandria database
Functional: PBE
Structure: optimized geometry

Properties
Uncorrected formation energy: -34.51 kcal/mol of atoms
Space-group type: C2/m, No. 12
V: 14.396 Å³ per atom

```
U6N5O
1.0
2.980 -5.163 0.000
2.980 5.163 0.000
-1.986 0.000 5.614
U N O
6 5 1
Cartesian
-0.004 1.729 4.209 U
0.984 0.000 1.416 U
-0.004 -1.729 4.209 U
3.978 1.729 1.405 U
2.990 0.000 4.198 U
3.978 -1.729 1.405 U
-0.993 0.000 2.807 N
2.980 3.446 0.000 N
1.987 1.740 2.807 N
1.987 -1.740 2.807 N
2.980 -3.446 0.000 N
2.980 0.000 0.000 O
```

Compound: UNO
Source: the Alexandria database
Functional: PBE
Structure: optimized geometry

Properties
Uncorrected formation energy: -53.91 kcal/mol of atoms
Relative energy among the computed polymorphs: 19 meV per atom
Space-group type: F-43m, No. 216
V: 12.625 Å³ per atom

```
UNO
1.0
0.000 2.665 2.665
2.665 0.000 2.665
2.665 2.665 0.000
U N O
1 1 1
Cartesian
0.000 0.000 0.000 U
3.998 3.998 3.998 N
1.333 1.333 1.333 O
```

Compound: U2N2O
Source: the Alexandria database
Functional: PBE
Structure: optimized geometry

Properties
Uncorrected formation energy: -39.61 kcal/mol of atoms
Space-group type: C2/m, No. 12
V: 14.053 Å³ per atom

```
U2N2O
1.0
6.556 -1.775 0.000
6.556 1.775 0.000
-1.480 0.000 6.039
U N O
4 4 2
Cartesian
1.667 0.000 0.429 U
0.968 0.000 3.417 U
10.665 0.000 2.622 U
9.966 0.000 5.610 U
-0.363 0.000 1.491 N
11.997 0.000 4.548 N
3.206 0.000 3.988 N
8.427 0.000 2.051 N
3.976 0.000 0.964 O
7.657 0.000 5.075 O
```

no.,total moment (μB per atom)
1,0.000
2,0.407
3,0.309
4,0.750
5,0.620
6,0.000
7,0.588
8,0.000
9,0.000
10,0.000
11,0.000
12,0.000
13,0.000
14,0.000
15,0.000
16,0.338
17,0.334
18,0.688
19,0.339
20,0.715